Entry 1:
Entry from Alexandria via LeMat-Bulk: a relaxed structure of Pr2PCl2 (PBE-GGA).

a b c (Å): 7.1936 4.1529 11.0617
angles (deg): 90.00 103.80 90.00
Last column: nearest neighbours and their distance in Å.
Sites, in units of the cell vectors:
1 Pr 0.2222 0.0000 0.1516  3 P 2.90, 3 Cl 2.93
2 Pr 0.2778 0.5000 0.8484  3 P 2.90, 3 Cl 2.93
3 Pr 0.7222 0.5000 0.1516  3 P 2.90, 3 Cl 2.93
4 Pr 0.7778 0.0000 0.8484  3 P 2.90, 3 Cl 2.93
5 P 0.0000 0.5000 0.0000  6 Pr 2.90
6 P 0.5000 0.0000 0.0000  6 Pr 2.90
7 Cl 0.0534 0.0000 0.6915  3 Pr 2.93
8 Cl 0.4466 0.5000 0.3085  3 Pr 2.93
9 Cl 0.5534 0.5000 0.6915  3 Pr 2.93
10 Cl 0.9466 0.0000 0.3085  3 Pr 2.93

Electronic total energy ... -5.675 eV per atom
Total magnetic moment ... 0.00 μB/f.u.
Theoretical density ... 4.0 Mg/m³

***

Entry 2:
Entry from Alexandria via LeMat-Bulk: a relaxed structure of MgCoW (PBE-GGA).

a b c (Å): 2.8381 2.8381 11.0627
angles (deg): 90.00 90.00 90.00
Last column: nearest neighbours and their distance in Å.
Sites, in units of the cell vectors:
1 Mg 0.0000 0.0000 0.0000  4 Co 2.70, 4 Mg 2.84, 4 W 2.99
2 Mg 0.5000 0.5000 0.5000  4 Co 2.70, 4 Mg 2.84, 4 W 2.99
3 Co 0.0000 0.0000 0.6629  4 W 2.51, 4 Mg 2.70
4 Co 0.5000 0.5000 0.1629  4 W 2.51, 4 Mg 2.70
5 W 0.0000 0.0000 0.2998  4 Co 2.51
6 W 0.5000 0.5000 0.7998  4 Co 2.51

Energy relative to the elements ... 227 meV per atom
Total magnetic moment ... 0.27 μB/f.u.
Theoretical density ... 10.0 Mg/m³

***

Entry 3:
Entry from Alexandria via LeMat-Bulk: a relaxed structure of Cs2NpMnSe5 (PBE-GGA).

a b c (Å): 10.7176 10.7176 15.1770
angles (deg): 90.00 90.00 157.23
Last column: nearest neighbours and their distance in Å.
Sites, in units of the cell vectors:
1 Cs 0.1266 0.8734 0.5000  7 Se 3.64-3.98
2 Cs 0.1310 0.8690 0.8639  7 Se 3.62-3.95
3 Cs 0.8690 0.1310 0.3639  7 Se 3.62-3.95
4 Cs 0.8734 0.1266 0.0000  7 Se 3.64-3.98
5 Np 0.1976 0.8024 0.1948  6 Se 2.61-2.87
6 Np 0.8024 0.1976 0.6948  6 Se 2.61-2.87
7 Mn 0.4235 0.5765 0.5978  4 Se 2.27-2.46
8 Mn 0.5765 0.4235 0.0978  4 Se 2.27-2.46
9 Se 0.0631 0.9369 0.1782  2 Mn 2.46
10 Se 0.3081 0.6919 0.8138  2 Np 2.78
11 Se 0.3095 0.6905 0.5674  1 Mn 2.44
12 Se 0.3215 0.6785 0.1816  1 Np 2.61
13 Se 0.4865 0.5135 0.4761  1 Mn 2.27
14 Se 0.5135 0.4865 0.9761  1 Mn 2.27
15 Se 0.6785 0.3215 0.6816  1 Np 2.61
16 Se 0.6905 0.3095 0.0674  1 Mn 2.44
17 Se 0.6919 0.3081 0.3138  2 Np 2.78
18 Se 0.9369 0.0631 0.6782  2 Mn 2.46

Electronic total energy ... -5.512 eV per atom
Total magnetic moment ... 6.00 μB/f.u.
Theoretical density ... 4.7 Mg/m³

***

Entry 4:
Entry from Alexandria via LeMat-Bulk: a relaxed structure of HfCoBr3 (PBE-GGA).

a b c (Å): 5.2768 5.2768 5.2768
angles (deg): 90.00 90.00 90.00
Last column: nearest neighbours and their distance in Å.
Sites, in units of the cell vectors:
1 Hf 0.0000 0.0000 0.0000  6 Br 2.64
2 Co 0.5000 0.5000 0.5000  12 Br 3.73
3 Br 0.0000 0.0000 0.5000  2 Hf 2.64
4 Br 0.0000 0.5000 0.0000  2 Hf 2.64
5 Br 0.5000 0.0000 0.0000  2 Hf 2.64

Electronic total energy ... -4.260 eV per atom
Total magnetic moment ... 3.20 μB/f.u.
Theoretical density ... 5.4 Mg/m³

***

Entry 5:
Entry from Alexandria via LeMat-Bulk: a relaxed structure of InBi3O7 (PBE-GGA).

a b c (Å): 6.6876 6.6876 7.6965
angles (deg): 90.00 90.00 107.55
Last column: nearest neighbours and their distance in Å.
Sites, in units of the cell vectors:
1 In 0.0059 0.0059 0.0000  6 O 2.17-2.22
2 In 0.9941 0.9941 0.5000  6 O 2.17-2.22
3 Bi 0.0035 0.5351 0.7382  6 O 2.22-2.38
4 Bi 0.4642 0.4642 0.5000  6 O 2.34-2.51
5 Bi 0.4649 0.9965 0.7618  6 O 2.22-2.38
6 Bi 0.5351 0.0035 0.2618  6 O 2.22-2.38
7 Bi 0.5358 0.5358 0.0000  6 O 2.34-2.51
8 Bi 0.9965 0.4649 0.2382  6 O 2.22-2.38
9 O 0.0643 0.3417 0.9619  1 In 2.18, 2 Bi 2.26-2.37
10 O 0.0921 0.9079 0.7500  2 In 2.17, 2 Bi 2.38
11 O 0.1012 0.3379 0.5437  1 In 2.22, 2 Bi 2.22-2.34
12 O 0.3379 0.1012 0.4563  1 In 2.22, 2 Bi 2.22-2.34
13 O 0.3417 0.0643 0.0381  1 In 2.18, 2 Bi 2.26-2.37
14 O 0.3530 0.6470 0.2500  4 Bi 2.33-2.51
15 O 0.3529 0.6471 0.7500  2 Bi 2.23
16 O 0.6471 0.3529 0.2500  2 Bi 2.23
17 O 0.6470 0.3530 0.7500  4 Bi 2.33-2.51
18 O 0.6583 0.9357 0.5381  1 In 2.18, 2 Bi 2.26-2.37
19 O 0.6621 0.8988 0.9563  1 In 2.22, 2 Bi 2.22-2.34
20 O 0.8988 0.6621 0.0437  1 In 2.22, 2 Bi 2.22-2.34
21 O 0.9079 0.0921 0.2500  2 In 2.17, 2 Bi 2.38
22 O 0.9357 0.6583 0.4619  1 In 2.18, 2 Bi 2.26-2.37

Electronic total energy ... -5.612 eV per atom
Total magnetic moment ... 0.00 μB/f.u.
Theoretical density ... 8.6 Mg/m³

***

Entry 6:
Entry from Alexandria via LeMat-Bulk: a relaxed structure of Pm3Pr6YTm2 (PBE-GGA).

a b c (Å): 6.3452 6.3452 11.9910
angles (deg): 95.05 95.05 120.01
Last column: nearest neighbours and their distance in Å.
Sites, in units of the cell vectors:
1 Pm 0.0000 0.0000 0.0000  6 Pm 3.66, 6 Pr 3.67
2 Pm 0.3332 0.6668 0.0000  6 Pm 3.66-3.67, 6 Pr 3.66-3.67
3 Pm 0.6668 0.3332 0.0000  6 Pm 3.66-3.67, 6 Pr 3.66-3.67
4 Pr 0.0824 0.4171 0.2540  2 Tm 3.59, 1 Y 3.60, 6 Pr 3.66-3.68, 3 Pm 3.66-3.67
5 Pr 0.2484 0.2484 0.7460  2 Tm 3.59, 1 Y 3.59, 6 Pr 3.66-3.68, 3 Pm 3.67
6 Pr 0.4171 0.0824 0.2540  2 Tm 3.59, 1 Y 3.60, 6 Pr 3.66-3.68, 3 Pm 3.66-3.67
7 Pr 0.5829 0.9176 0.7460  2 Tm 3.59, 1 Y 3.60, 6 Pr 3.66-3.68, 3 Pm 3.66-3.67
8 Pr 0.7516 0.7516 0.2540  2 Tm 3.59, 1 Y 3.59, 6 Pr 3.66-3.68, 3 Pm 3.67
9 Pr 0.9176 0.5829 0.7460  2 Tm 3.59, 1 Y 3.60, 6 Pr 3.66-3.68, 3 Pm 3.66-3.67
10 Y 0.5000 0.5000 0.5000  6 Pr 3.59-3.60, 6 Tm 3.66
11 Tm 0.1666 0.8334 0.5000  6 Pr 3.59, 3 Y 3.66, 3 Tm 3.66
12 Tm 0.8334 0.1666 0.5000  6 Pr 3.59, 3 Y 3.66, 3 Tm 3.66

Energy relative to the elements ... 14 meV per atom
Total magnetic moment ... 0.00 μB/f.u.
Theoretical density ... 6.9 Mg/m³

***

> What is the total magnetic moment in the first record?

0.00 μB/f.u.